Compound: TlZnFeF6
Source: Alexandria
Functional: PBE+U
Structure: optimized geometry

Its space group is Imma. Its total magnetization is 2.99 μB per formula unit. As for the energy: -4.42 eV/atom.

a = 7.231 Å, b = 7.604 Å, c = 7.359 Å
α = 121.11°, β = 119.42°, γ = 90.00°
Each line ends with the local moment (μB).
Fractional positions:
Tl: 0.896 0.646 0.792  0.00
Tl: 0.104 0.354 0.208  0.00
Zn: 0.500 0.000 0.500  -0.01
Zn: 0.000 0.000 0.500  -0.01
Fe: 0.500 0.500 0.000  2.96
Fe: 0.500 0.000 0.000  2.96
F: 0.432 0.682 0.865  0.11
F: 0.833 0.083 0.667  -0.01
F: 0.811 0.071 0.242  -0.02
F: 0.431 0.670 0.242  -0.02
F: 0.431 0.071 0.242  -0.02
F: 0.811 0.670 0.242  -0.02
F: 0.568 0.318 0.135  0.11
F: 0.167 0.917 0.333  -0.01
F: 0.189 0.929 0.758  -0.02
F: 0.569 0.330 0.758  -0.02
F: 0.569 0.929 0.758  -0.02
F: 0.189 0.330 0.758  -0.02